1.
SrFe2Rh2: relaxed, PBE.

The structure belongs to space group P4/mbm (No. 127); the cell edges are 7.659, 7.659 and 2.852 Å and the angles 90.00°, 90.00° and 90.00°. The distinct sites, in fractional coordinates, are Sr at (0.000, 0.000, 0.000), Fe at (0.115, 0.385, 0.000) and Rh at (0.172, 0.672, 0.500).

***

2.
SrFe2Rh: relaxed, PBE.

The structure belongs to space group C2/m (No. 12); the cell edges are 5.476, 9.224 and 2.874 Å and the angles 90.00°, 110.09° and 90.00°. The distinct sites, in fractional coordinates, are Sr at (0.000, 0.000, 0.000), Fe at (0.250, 0.250, 0.500) and Rh at (0.000, 0.500, 0.000).

***

3.
SrFe2Rh: relaxed, PBE.

The structure belongs to space group R-3m (No. 166, hexagonal axes); the cell edges are 3.0055, 3.0055 and 27.5757 Å and the angles 90.00°, 90.00° and 120.00°. The distinct sites, in fractional coordinates, are Sr at (0.0000, 0.0000, 0.0000), Fe at (0.0000, 0.0000, 0.2359) and Rh at (0.0000, 0.0000, 0.5000).

***

4.
SrFe2Rh: relaxed, PBE.

The structure belongs to space group Cm (No. 8); the cell edges are 7.302, 4.215 and 5.959 Å and the angles 90.00°, 114.22° and 90.00°. The distinct sites, in fractional coordinates, are Sr at (0.000, 0.000, 0.000), Fe at (0.189, 0.000, 0.568), Fe at (0.490, 0.000, 0.471) and Rh at (0.312, 0.500, 0.437).

***

5.
SrFeRh2: relaxed, PBE.

The structure belongs to space group P4/mmm (No. 123); the cell edges are 3.167, 3.167 and 7.191 Å and the angles 90.00°, 90.00° and 90.00°. The distinct sites, in fractional coordinates, are Sr at (0.000, 0.000, 0.000), Fe at (0.000, 0.000, 0.500) and Rh at (0.500, 0.500, 0.308).

***

6.
SrFeRh2: relaxed, PBE.

The structure belongs to space group Pm (No. 6); the cell edges are 3.117, 4.276 and 5.890 Å and the angles 90.00°, 93.88° and 90.00°. The distinct sites, in fractional coordinates, are Sr at (0.000, 0.000, 0.000), Fe at (0.929, 0.500, 0.428), Rh at (0.466, 0.000, 0.472) and Rh at (0.469, 0.500, 0.755).

***

7.
SrFe2Rh: relaxed, PBE.

The structure belongs to space group Cmmm (No. 65); the cell edges are 5.487, 8.522 and 2.947 Å and the angles 90.00°, 90.00° and 90.00°. The distinct sites, in fractional coordinates, are Sr at (0.000, 0.000, 0.000), Fe at (0.250, 0.250, 0.500) and Rh at (0.000, 0.500, 0.000).

***

8.
SrFeRh2: relaxed, PBE.

The structure belongs to space group Pmmm (No. 47); the cell edges are 3.297, 4.429 and 4.894 Å and the angles 90.00°, 90.00° and 90.00°. The distinct sites, in fractional coordinates, are Sr at (0.000, 0.000, 0.000), Fe at (0.500, 0.000, 0.500), Rh at (0.000, 0.500, 0.500) and Rh at (0.500, 0.500, 0.000).

***

9.
SrFe2Rh: relaxed, PBE.

The structure belongs to space group P4/mmm (No. 123); the cell edges are 4.626, 4.626 and 3.190 Å and the angles 90.00°, 90.00° and 90.00°. The distinct sites, in fractional coordinates, are Sr at (0.000, 0.000, 0.000), Fe at (0.000, 0.500, 0.500) and Rh at (0.500, 0.500, 0.000).

***

10.
SrFeRh2: relaxed, PBE.

The structure belongs to space group F-43m (No. 216); the cell edges are 6.561, 6.561 and 6.561 Å and the angles 90.00°, 90.00° and 90.00°. The distinct sites, in fractional coordinates, are Sr at (0.000, 0.000, 0.000), Fe at (0.250, 0.250, 0.750), Rh at (0.000, 0.000, 0.500) and Rh at (0.250, 0.250, 0.250).

***

11.
SrFeRh2: relaxed, PBE.

The structure belongs to space group Pmm2 (No. 25); the cell edges are 2.982, 3.699 and 6.837 Å and the angles 90.00°, 90.00° and 90.00°. The distinct sites, in fractional coordinates, are Sr at (0.000, 0.000, 0.000), Fe at (0.500, 0.500, 0.354), Rh at (0.000, 0.000, 0.487) and Rh at (0.500, 0.500, 0.709).

***

12.
SrFeRh: relaxed, PBE.

The structure belongs to space group Imm2 (No. 44); the cell edges are 3.312, 3.529 and 10.932 Å and the angles 90.00°, 90.00° and 90.00°. The distinct sites, in fractional coordinates, are Sr at (0.000, 0.000, 0.000), Fe at (0.000, 0.000, 0.723) and Rh at (0.000, 0.000, 0.282).

***

13.
SrFe3Rh: relaxed, PBE.

The structure belongs to space group Pm-3m (No. 221); the cell edges are 4.577, 4.577 and 4.577 Å and the angles 90.00°, 90.00° and 90.00°. The distinct sites, in fractional coordinates, are Sr at (0.000, 0.000, 0.000), Fe at (0.000, 0.000, 0.500) and Rh at (0.500, 0.500, 0.500).

***

no.,theoretical density (g cm⁻³),total DFT energy (no corrections) (eV per atom)
1,8.0,-6.54
2,7.4,-5.84
3,7.0,-5.68
4,6.0,-6.35
5,8.0,-6.16
6,7.4,-5.97
7,7.3,-5.80
8,8.1,-5.78
9,7.3,-5.82
10,8.2,-5.79
11,7.7,-5.97
12,6.4,-5.67
13,6.2,-4.52